No. 1
Sr4CuIr2O9 | GGA-PBEsol | optimized geometry

Cell and atoms, written as POSCAR:
```
Sr4CuIr2O9
1.0
7.9625 0.0000 0.0000
0.0030 9.6351 0.0000
0.0274 4.7841 8.4234
Sr Cu Ir O
12 3 6 27
Cartesian
0.0000 0.0000 0.0000 Sr
7.9704 4.7414 2.7630 Sr
0.0331 9.6724 5.4199 Sr
1.9927 12.5725 5.5776 Sr
2.0469 3.2933 0.1500 Sr
2.0639 8.1277 2.6023 Sr
3.9509 5.0823 2.8094 Sr
3.9993 9.4761 5.7529 Sr
4.0475 14.2559 8.2115 Sr
5.9611 7.7072 8.3330 Sr
5.9625 3.2386 5.4406 Sr
5.9726 8.1594 2.9289 Sr
2.1498 6.0795 6.0332 Cu
3.9907 1.8739 3.2547 Cu
5.8441 6.1306 0.4622 Cu
0.6649 11.1823 8.3179 Ir
1.2555 1.5947 2.6740 Ir
3.1503 11.1725 8.3331 Ir
4.8694 6.4186 5.5264 Ir
6.7248 1.5935 2.6880 Ir
7.3563 6.4380 5.4911 Ir
0.0252 9.6221 2.6094 O
0.4041 7.4084 4.1743 O
0.6444 7.0169 6.9069 O
0.6723 4.9536 5.3399 O
1.8825 5.7190 1.4693 O
1.9227 10.2059 6.9799 O
1.9310 12.8139 8.1497 O
2.3348 0.8010 1.2527 O
2.4719 10.4351 4.0578 O
2.5021 3.1372 2.7971 O
3.6316 4.8573 5.4375 O
3.6603 7.0243 7.0044 O
3.7668 7.3831 4.1977 O
4.2418 11.8575 6.8433 O
4.3469 7.2610 1.2267 O
4.3481 4.8189 0.1209 O
5.4715 3.1334 2.7508 O
5.5221 10.5107 4.1167 O
5.6528 10.3530 1.3082 O
6.0808 5.7594 3.9966 O
6.0951 8.0747 5.6935 O
6.1179 5.4083 6.8673 O
7.3288 7.2620 1.1176 O
7.3424 4.8917 0.1074 O
7.6212 11.8490 6.8167 O
7.9666 2.4574 4.0904 O
7.9623 2.3905 1.2725 O
```

Calculated values
raw formation energy	-29.39	eV per formula unit
space group	P1 (1)
total DFT energy (no corrections)	-323.918	eV/cell



No. 2
CrSbCl2 | GGA-PBEsol | optimized geometry

Cell and atoms, written as POSCAR:
```
CrSbCl2
1.0
1.6640 0.9607 9.9636
-1.6640 0.9607 9.9636
0.0000 -1.9215 9.9636
Cr Sb Cl
1 1 2
Cartesian
0.0000 0.0000 0.0000 Cr
0.0000 0.0000 14.9455 Sb
0.0000 0.0000 8.4934 Cl
0.0000 0.0000 21.3975 Cl
```

Calculated values
raw formation energy	-1.38	eV per formula unit
space group	R-3m (166)
total DFT energy (no corrections)	-20.200	eV/cell



No. 3
La2HfScTi | GGA-PBEsol | optimized geometry

Cell and atoms, written as POSCAR:
```
La2HfScTi
1.0
5.4997 0.0000 0.0000
0.0000 5.4997 0.0000
0.0000 0.0000 4.9922
La Hf Sc Ti
2 1 1 1
Cartesian
0.0000 2.7498 0.0000 La
2.7498 0.0000 0.0000 La
0.0000 0.0000 2.4961 Hf
0.0000 0.0000 0.0000 Sc
2.7498 2.7498 2.4961 Ti
```

Calculated values
energy of formation from the pure elements	1158	meV/atom
space group	P4/mmm (123)
total DFT energy (no corrections)	-30.335	eV/cell